Record 1
Compound: Pa2TcOs
Source: Alexandria via LeMat-Bulk
Functional: PBE
Structure: relaxed

As for the crystal system: tetragonal. For the formation energy, the calculation gives -0.186 eV/atom. The energy relative to the lowest polymorph listed for this composition comes out at 0.000 eV per atom. The total energy is -10.33 eV/atom.

The space group is P4/mmm (No. 123) and the conventional cell measures 3.492, 3.492 and 6.681 Å, with angles of 90.00, 90.00 and 90.00 degrees. The inequivalent atoms are Pa at (0.000, 0.000, 0.245), Tc at (0.500, 0.500, 0.500) and Os at (0.500, 0.500, 0.000).

Record 2
Compound: ErScTl2
Source: Alexandria via LeMat-Bulk
Functional: PBE
Structure: relaxed

As for the crystal system: tetragonal. For the formation energy, the calculation gives -0.272 eV/atom. The total energy is -4.18 eV/atom.

The space group is P4/mmm (No. 123) and the conventional cell measures 4.870, 4.870 and 4.235 Å, with angles of 90.00, 90.00 and 90.00 degrees. The inequivalent atoms are Er at (0.000, 0.000, 0.000), Sc at (0.500, 0.500, 0.000) and Tl at (0.000, 0.500, 0.500).

Record 3
Compound: Ce2Zn3Ga4Ag
Source: Alexandria via LeMat-Bulk
Functional: PBE
Structure: relaxed

As for the crystal system: tetragonal. For the formation energy, the calculation gives -0.397 eV/atom. The total energy is -3.46 eV/atom.

The space group is P-4m2 (No. 115) and the conventional cell measures 4.290, 4.290 and 10.607 Å, with angles of 90.00, 90.00 and 90.00 degrees. The inequivalent atoms are Ce at (0.000, 0.500, 0.246), Zn at (0.000, 0.500, 0.868), Zn at (0.500, 0.500, 0.500), Ga at (0.000, 0.000, 0.000), Ga at (0.000, 0.500, 0.639), Ga at (0.500, 0.500, 0.000) and Ag at (0.000, 0.000, 0.500).

Record 4
Compound: InSiCl
Source: Alexandria via LeMat-Bulk
Functional: PBE
Structure: relaxed

As for the crystal system: monoclinic. The total energy is -3.60 eV/atom.

The space group is Pm (No. 6) and the conventional cell measures 5.308, 3.917 and 7.129 Å, with angles of 90.00, 99.03 and 90.00 degrees. The inequivalent atoms are In at (0.000, 0.000, 0.000), In at (0.346, 0.000, 0.375), Si at (0.305, 0.500, 0.834), Si at (0.540, 0.000, 0.764), Cl at (0.022, 0.500, 0.563) and Cl at (0.621, 0.500, 0.196).

Record 5
Compound: KLi3Te2
Source: Alexandria via LeMat-Bulk
Functional: PBE
Structure: relaxed

As for the crystal system: monoclinic. The total energy is -3.20 eV/atom.

The space group is C2/m (No. 12) and the conventional cell measures 17.965, 4.666 and 8.975 Å, with angles of 90.00, 116.52 and 90.00 degrees. The inequivalent atoms are K at (0.131, 0.000, 0.040), Li at (0.064, 0.000, 0.398), Li at (0.098, 0.500, 0.633), Li at (0.190, 0.500, 0.466), Te at (0.019, 0.500, 0.251) and Te at (0.205, 0.000, 0.686).

Record 6
Compound: LiEr3Ga2
Source: Alexandria via LeMat-Bulk
Functional: PBE
Structure: relaxed

As for the crystal system: trigonal. For the formation energy, the calculation gives -0.416 eV/atom. The energy relative to the lowest polymorph listed for this composition comes out at 0.000 eV per atom. The total energy is -4.02 eV/atom.

The space group is P-3m1 (No. 164) and the conventional cell measures 5.0267, 5.0267 and 12.3686 Å, with angles of 90.00, 90.00 and 120.00 degrees. The inequivalent atoms are Li at (0.3333, 0.6667, 0.1731), Er at (0.0000, 0.0000, 0.2560), Er at (0.3333, 0.6667, 0.4211), Er at (0.3333, 0.6667, 0.9181), Ga at (0.0000, 0.0000, 0.0000), Ga at (0.0000, 0.0000, 0.5000) and Ga at (0.3333, 0.6667, 0.6796).

N(E_F) values (in states/eV per cell) by entry order: 4.876; 3.193; 13.683; 0.921; 0.000; 8.541.
Total magnetization values (in μB/atom) by entry order: 0.000; 0.155; 0.139; 0.000; 0.000; 0.000.